No. 1
VASP calculation (PBE) on CdTeP3 after structural relaxation.

The spin magnetization comes out at 0.000 μB/f.u. Its crystal system is cubic. For the energy relative to the elements, uncorrected, the calculation gives 1185 meV per atom. As for the offset from the most stable computed form: 0 meV per atom. For the density of states at the Fermi level, the calculation gives 6.855 states/eV/f.u.

The structure belongs to space group Pm-3m (No. 221); the cell edges are 5.083, 5.083 and 5.083 Å and the angles 90.00°, 90.00° and 90.00°. The distinct sites, in fractional coordinates, are Cd at (0.000, 0.000, 0.000), Te at (0.500, 0.500, 0.500) and P at (0.000, 0.500, 0.500).

---

No. 2
VASP calculation (PBE) on CdTe2P after structural relaxation.

The spin magnetization comes out at 0.000 μB/f.u. Its crystal system is monoclinic. For the energy relative to the elements, uncorrected, the calculation gives 173 meV per atom. As for the offset from the most stable computed form: 152 meV per atom. For the density of states at the Fermi level, the calculation gives 1.338 states/eV/f.u.

The structure belongs to space group Cm (No. 8); the cell edges are 14.862, 3.645 and 4.273 Å and the angles 90.00°, 91.60° and 90.00°. The distinct sites, in fractional coordinates, are Cd at (0.000, 0.000, 0.000), Te at (0.078, 0.500, 0.502), Te at (0.291, 0.500, 0.223) and P at (0.343, 0.000, 0.845).

---

No. 3
VASP calculation (PBE) on CdTeP2 after structural relaxation.

The spin magnetization comes out at 0.000 μB/f.u. Its crystal system is orthorhombic. For the energy relative to the elements, uncorrected, the calculation gives 356 meV per atom. As for the offset from the most stable computed form: 210 meV per atom. For the density of states at the Fermi level, the calculation gives 1.918 states/eV/f.u.

The structure belongs to space group Cmm2 (No. 35); the cell edges are 3.205, 5.360 and 11.614 Å and the angles 90.00°, 90.00° and 90.00°. The distinct sites, in fractional coordinates, are Cd at (0.000, 0.000, 0.000), Te at (0.000, 0.500, 0.280), P at (0.000, 0.000, 0.603) and P at (0.000, 0.500, 0.731).

---

No. 4
VASP calculation (PBE) on CdTeP after structural relaxation.

The spin magnetization comes out at 0.000 μB/f.u. Its crystal system is trigonal. For the energy relative to the elements, uncorrected, the calculation gives 478 meV per atom. As for the offset from the most stable computed form: 354 meV per atom. For the density of states at the Fermi level, the calculation gives 1.604 states/eV/f.u.

The structure belongs to space group P3m1 (No. 156); the cell edges are 3.3050, 3.3050 and 8.0552 Å and the angles 90.00°, 90.00° and 120.00°. The distinct sites, in fractional coordinates, are Cd at (0.0000, 0.0000, 0.0000), Te at (0.3333, 0.6667, 0.6855) and P at (0.6667, 0.3333, 0.2407).

---

No. 5
VASP calculation (PBE) on CdTeP after structural relaxation.

The spin magnetization comes out at 0.000 μB/f.u. Its crystal system is orthorhombic. For the energy relative to the elements, uncorrected, the calculation gives 456 meV per atom. As for the offset from the most stable computed form: 332 meV per atom. For the density of states at the Fermi level, the calculation gives 1.317 states/eV/f.u.

The structure belongs to space group Fmm2 (No. 42); the cell edges are 4.053, 5.385 and 12.713 Å and the angles 90.00°, 90.00° and 90.00°. The distinct sites, in fractional coordinates, are Cd at (0.000, 0.000, 0.000), Te at (0.000, 0.000, 0.686) and P at (0.000, 0.000, 0.366).

---

No. 6
VASP calculation (PBE) on CdTeP after structural relaxation.

The spin magnetization comes out at 0.000 μB/f.u. Its crystal system is monoclinic. For the energy relative to the elements, uncorrected, the calculation gives 124 meV per atom. As for the offset from the most stable computed form: 0 meV per atom. For the density of states at the Fermi level, the calculation gives 1.178 states/eV/f.u.

The structure belongs to space group Cm (No. 8); the cell edges are 11.259, 3.739 and 3.884 Å and the angles 90.00°, 94.89° and 90.00°. The distinct sites, in fractional coordinates, are Cd at (0.000, 0.000, 0.000), Te at (0.244, 0.000, 0.494) and P at (0.460, 0.000, 0.496).

---

Q: What is the formula in the third record?
A: CdTeP2